Entry from the Alexandria database: Tb5Er3In2 after structural relaxation (GGA-PBE).

Lattice parameters (Å, degrees): 6.3163 10.5692 10.5692 95.26 72.61 72.61
Fractional positions:
In 0.3670 0.9869 0.2792
In 0.8670 0.2792 0.9869
In 0.6330 0.0131 0.7208
In 0.1330 0.7208 0.0131
Tb 0.7500 0.5000 0.5000
Tb 0.0009 0.2491 0.2491
Tb 0.6297 0.2059 0.5347
Tb 0.9991 0.7509 0.7509
Tb 0.1297 0.5347 0.2059
Tb 0.5009 0.2491 0.2491
Tb 0.4991 0.7509 0.7509
Tb 0.3703 0.7941 0.4653
Tb 0.8703 0.4653 0.7941
Tb 0.2500 0.5000 0.5000
Er 0.2500 0.0000 0.0000
Er 0.3945 0.3351 0.8760
Er 0.7500 0.0000 0.0000
Er 0.1055 0.1240 0.6649
Er 0.8945 0.8760 0.3351
Er 0.6055 0.6649 0.1240

Calculated values
**Magnetization**: 0.00 μB/f.u.
**Space group**: Ibam
**Calculated formation energy**: 127 meV per atom